Entry from Alexandria: crystalline PaI6Cl at its relaxed geometry (PBE-GGA).

**Calculated total energy**: -3.15 eV per atom
**E_form (uncorrected)**: -570 meV/atom

Lattice parameters (Å, degrees): 8.6887 12.7937 8.3904 90.00 118.63 90.00
Space group C2/m (No. 12)
Symmetry-distinct sites (fractional):
Pa 0.0000 0.0000 0.0000 [2 per cell]
I 0.0067 0.1742 0.2357 [8 per cell]
I 0.1178 0.5000 0.8188 [4 per cell]
Cl 0.0000 0.0000 0.5000 [2 per cell]